! Y2BiPtBr, optimized geometry, DFT PBE; values from VASP
&SYSTEM
  ibrav = 0, nat = 5, ntyp = 4
/
ATOMIC_SPECIES
Pt 195.08 Pt.upf
Y 88.91 Y.upf
Br 79.90 Br.upf
Bi 208.98 Bi.upf
ATOMIC_POSITIONS crystal
Pt 0.500 0.500 0.500
Y 0.000 0.000 0.500
Y 0.500 0.000 0.000
Br 0.000 0.000 0.000
Bi 0.000 0.500 0.000
CELL_PARAMETERS angstrom
5.256 0.000 0.000
0.000 5.430 0.000
0.000 0.000 5.256
! - symmetry = P4/mmm, No. 123
! - energy (eV/atom) = -4.62